--- w ---
This record from Alexandria via LeMat-Bulk describes AcPrNdSm after structural relaxation. The functional is PBE-GGA.

The structure in POSCAR format:
```
AcPrNdSm
1.0
-2.656 2.656 5.323
2.656 -2.656 5.323
2.656 2.656 -5.323
Ac Pr Nd Sm
1 1 1 1
Cartesian
0.000 0.000 0.000
0.000 2.656 2.661
2.656 0.000 2.661
0.000 0.000 5.323
```

Output
Crystal system ... tetragonal
SG ... I-4m2, No. 119
Mass density ... 7.324 Mg/m³
Density of states at the Fermi level ... 7.4 states/eV/cell

--- x ---
This record from Alexandria via LeMat-Bulk describes AcPrNdSm after structural relaxation. The functional is PBE-GGA.

The structure in POSCAR format:
```
AcPrNdSm
1.0
0.000 4.220 4.220
4.220 0.000 4.220
4.220 4.220 0.000
Ac Pr Nd Sm
1 1 1 1
Cartesian
0.000 0.000 0.000
6.331 6.331 6.331
2.110 2.110 2.110
4.220 4.220 4.220
```

Output
Crystal system ... cubic
SG ... F-43m, No. 216
Mass density ... 7.318 Mg/m³
Density of states at the Fermi level ... 10.2 states/eV/cell

Which is most stable? The ranking, best first, is w, x.

--- w ---
This record from Alexandria via LeMat-Bulk describes AcPrNdTh after structural relaxation. The functional is PBE-GGA.

The structure in POSCAR format:
```
AcPrNdTh
1.0
3.711 0.000 0.000
0.000 3.711 0.000
0.000 0.000 10.741
Ac Pr Nd Th
1 1 1 1
Cartesian
0.000 0.000 0.000
1.856 1.856 7.792
1.856 1.856 2.920
0.000 0.000 5.346
```

Output
Crystal system ... tetragonal
SG ... P4mm, No. 99
Mass density ... 8.353 Mg/m³
Density of states at the Fermi level ... 4.8 states/eV/cell

--- x ---
This record from Alexandria via LeMat-Bulk describes AcPrNdTh after structural relaxation. The functional is PBE-GGA.

The structure in POSCAR format:
```
AcPrNdTh
1.0
0.000 4.192 4.192
4.192 0.000 4.192
4.192 4.192 0.000
Ac Pr Nd Th
1 1 1 1
Cartesian
0.000 0.000 0.000
2.096 2.096 2.096
6.288 6.288 6.288
4.192 4.192 4.192
```

Output
Crystal system ... cubic
SG ... F-43m, No. 216
Mass density ... 8.387 Mg/m³
Density of states at the Fermi level ... 9.8 states/eV/cell

Which is most stable? The ranking, best first, is w, x.

--- w ---
This record from Alexandria via LeMat-Bulk describes AcPrNdTl after structural relaxation. The functional is PBE-GGA.

The structure in POSCAR format:
```
AcPrNdTl
1.0
4.764 -3.056 0.000
4.764 3.056 0.000
-3.911 0.000 4.698
Ac Pr Nd Tl
1 1 1 1
Cartesian
0.000 0.000 0.000
-0.549 0.000 3.521
6.168 0.000 1.176
2.810 0.000 2.348
```

Output
Crystal system ... monoclinic
SG ... Cm, No. 8
Mass density ... 8.697 Mg/m³
Density of states at the Fermi level ... 5.4 states/eV/cell

--- x ---
This record from Alexandria via LeMat-Bulk describes AcPrNdTl after structural relaxation. The functional is PBE-GGA.

The structure in POSCAR format:
```
AcPrNdTl
1.0
0.000 4.069 4.069
4.069 0.000 4.069
4.069 4.069 0.000
Ac Pr Nd Tl
1 1 1 1
Cartesian
0.000 0.000 0.000
2.034 2.034 2.034
6.103 6.103 6.103
4.069 4.069 4.069
```

Output
Crystal system ... cubic
SG ... F-43m, No. 216
Mass density ... 8.833 Mg/m³
Density of states at the Fermi level ... 7.7 states/eV/cell

Which is most stable? The ranking, best first, is w, x.